Density functional theory data (PBE-GGA) for a geometry-optimized Mg12In3H5 structure.

**E_tot**: -2.1612 eV/atom
**Space group**: Ia-3d, No. 230
**Crystal system**: cubic

Cell lengths 12.457, 12.457, 12.457 Å; angles 109.47, 109.47, 109.47 degrees
Atoms (fractional coordinates):
In 0.750 0.375 0.125
In 0.875 0.750 0.125
In 0.375 0.750 0.625
In 0.250 0.125 0.375
In 0.875 0.125 0.250
In 0.375 0.625 0.250
In 0.625 0.375 0.750
In 0.125 0.875 0.750
In 0.750 0.875 0.625
In 0.625 0.250 0.375
In 0.125 0.250 0.875
In 0.250 0.625 0.875
H 0.125 0.375 0.250
H 0.000 0.500 0.000
H 0.000 0.000 0.000
H 0.375 0.250 0.125
H 0.500 0.000 0.500
H 0.500 0.500 0.000
H 0.125 0.750 0.375
H 0.750 0.125 0.875
H 0.750 0.625 0.375
H 0.375 0.125 0.750
H 0.625 0.875 0.250
H 0.500 0.500 0.500
H 0.500 0.000 0.000
H 0.000 0.000 0.500
H 0.250 0.375 0.625
H 0.250 0.875 0.125
H 0.000 0.500 0.500
H 0.875 0.250 0.625
H 0.625 0.750 0.875
H 0.875 0.625 0.750
Mg 0.696 0.102 0.004
Mg 0.309 0.504 0.402
Mg 0.996 0.398 0.304
Mg 0.504 0.196 0.102
Mg 0.594 0.696 0.691
Mg 0.996 0.598 0.191
Mg 0.309 0.804 0.406
Mg 0.098 0.906 0.102
Mg 0.598 0.996 0.691
Mg 0.696 0.594 0.191
Mg 0.804 0.496 0.398
Mg 0.809 0.902 0.004
Mg 0.102 0.696 0.504
Mg 0.398 0.402 0.094
Mg 0.094 0.902 0.398
Mg 0.406 0.102 0.598
Mg 0.094 0.191 0.196
Mg 0.496 0.691 0.098
Mg 0.809 0.906 0.304
Mg 0.102 0.406 0.098
Mg 0.398 0.996 0.804
Mg 0.598 0.602 0.406
Mg 0.902 0.809 0.504
Mg 0.804 0.309 0.906
Mg 0.402 0.398 0.594
Mg 0.098 0.191 0.496
Mg 0.196 0.691 0.094
Mg 0.191 0.094 0.696
Mg 0.602 0.004 0.196
Mg 0.898 0.594 0.902
Mg 0.504 0.309 0.902
Mg 0.594 0.898 0.402
Mg 0.906 0.809 0.804
Mg 0.906 0.098 0.602
Mg 0.898 0.304 0.496
Mg 0.191 0.098 0.996
Mg 0.602 0.598 0.906
Mg 0.402 0.004 0.309
Mg 0.304 0.406 0.809
Mg 0.196 0.504 0.602
Mg 0.902 0.094 0.898
Mg 0.691 0.196 0.594
Mg 0.496 0.804 0.898
Mg 0.004 0.402 0.809
Mg 0.406 0.304 0.309
Mg 0.004 0.602 0.696
Mg 0.691 0.496 0.598
Mg 0.304 0.898 0.996

Density functional theory data (PBE-GGA) for a geometry-optimized Mg2MnInH structure.

**E_tot**: -3.6264 eV/atom
**Space group**: P4/mmm, No. 123
**Crystal system**: tetragonal

Cell lengths 4.400, 4.400, 4.020 Å; angles 90.00, 90.00, 90.00 degrees
Atoms (fractional coordinates):
H 0.000 0.000 0.000
Mg 0.000 0.500 0.000
Mg 0.500 0.000 0.000
Mn 0.000 0.000 0.500
In 0.500 0.500 0.500

Density functional theory data (PBE-GGA) for a geometry-optimized Na2MgInH structure.

**E_tot**: -2.0849 eV/atom
**Space group**: P4/mmm, No. 123
**Crystal system**: tetragonal

Cell lengths 4.760, 4.760, 4.540 Å; angles 90.00, 90.00, 90.00 degrees
Atoms (fractional coordinates):
Na 0.000 0.500 0.000
Na 0.500 0.000 0.000
Mg 0.000 0.000 0.500
H 0.000 0.000 0.000
In 0.500 0.500 0.500

Among the records above, which one has the lowest E_tot? Mg2MnInH

Which of these has the lowest E_tot? Mg2MnInH

Which value of E_tot does entry 1 give? -2.1612 eV/atom

What is the E_tot in the third record? -2.0849 eV/atom